No. 1
Compound: ThSnBi
Source: Alexandria
Functional: GGA-PBE
Structure: optimized geometry

a = 4.477 Å, b = 4.477 Å, c = 9.736 Å
α = 103.29°, β = 103.29°, γ = 90.00°
Fractional coordinates of all 6 atoms:
Th 0.366 0.366 0.732
Th 0.634 0.634 0.268
Sn 0.000 0.500 0.000
Sn 0.500 0.000 0.000
Bi 0.182 0.182 0.364
Bi 0.818 0.818 0.636

Properties
Its energy above the lowest structure with this stoichiometry is 24 meV/atom. The calculation puts the density at 10.07 g/cm3. The value obtained for the formation energy from the elements is -498 meV per atom. For the magnetic moment, the calculation gives 0.00 μB/cell.

=====

No. 2
Compound: Th10Sn3Bi3
Source: Alexandria
Functional: GGA-PBE
Structure: optimized geometry

a = 6.482 Å, b = 9.496 Å, c = 9.496 Å
α = 120.00°, β = 90.00°, γ = 90.00°
Fractional coordinates of all 16 atoms:
Th 0.000 0.000 0.253
Th 0.746 0.333 0.667
Th 0.000 0.747 0.747
Th 0.254 0.333 0.667
Th 0.500 0.746 0.000
Th 0.500 0.254 0.254
Th 0.000 0.253 0.000
Th 0.254 0.667 0.333
Th 0.500 0.000 0.746
Th 0.746 0.667 0.333
Bi 0.000 0.000 0.611
Bi 0.000 0.389 0.389
Bi 0.000 0.611 0.000
Sn 0.500 0.000 0.386
Sn 0.500 0.386 0.000
Sn 0.500 0.614 0.614

Properties
The calculation puts the density at 10.84 g/cm3. The value obtained for the formation energy from the elements is -460 meV per atom. For the magnetic moment, the calculation gives 0.00 μB/cell.

=====

No. 3
Compound: ThSnBi
Source: Alexandria
Functional: GGA-PBE
Structure: optimized geometry

a = 3.325 Å, b = 5.557 Å, c = 5.557 Å
α = 120.00°, β = 90.00°, γ = 90.00°
Fractional coordinates of all 3 atoms:
Bi 0.832 0.000 0.000
Sn 0.835 0.333 0.667
Th 0.333 0.667 0.333

Properties
Its energy above the lowest structure with this stoichiometry is 281 meV/atom. The calculation puts the density at 10.45 g/cm3. The value obtained for the formation energy from the elements is -241 meV per atom. For the magnetic moment, the calculation gives 0.00 μB/cell.